No. 1
# Ac4C2Br5 | Alexandria via LeMat-Bulk | PBE | relaxed
data_Ac4C2Br5
_cell_length_a 4.1601
_cell_length_b 8.6594
_cell_length_c 10.6174
_cell_angle_alpha 114.07
_cell_angle_beta 101.30
_cell_angle_gamma 90.00
_symmetry_space_group_name_H-M 'P 1'
_symmetry_Int_Tables_number 1
_symmetry_space_group_name_Hall 'P 1'
loop_
_atom_site_label
_atom_site_type_symbol
_atom_site_fract_x
_atom_site_fract_y
_atom_site_fract_z
Ac1 Ac 0.0000 0.2943 0.0000
Ac2 Ac 0.6656 0.6656 0.3312
Ac3 Ac 0.0000 0.7057 0.0000
Ac4 Ac 0.3344 0.3344 0.6688
C1 C 0.4623 0.4623 0.9245
C2 C 0.5377 0.5377 0.0755
Br1 Br 0.8339 0.0564 0.6678
Br2 Br 0.8339 0.6114 0.6678
Br3 Br 0.1661 0.3886 0.3322
Br4 Br 0.1661 0.9436 0.3322
Br5 Br 0.5000 0.0000 0.0000
# DFT total energy ... -5.281 eV/atom
# Volume ... 341 Å³ per cell
# DOS(E_F) ... 0.267 states/eV/atom

***

No. 2
# Ac2C2Br | Alexandria via LeMat-Bulk | PBE | relaxed
data_Ac2C2Br
_cell_length_a 4.4380
_cell_length_b 7.0623
_cell_length_c 8.2846
_cell_angle_alpha 99.89
_cell_angle_beta 105.54
_cell_angle_gamma 90.00
_symmetry_space_group_name_H-M 'P 1'
_symmetry_Int_Tables_number 1
_symmetry_space_group_name_Hall 'P 1'
loop_
_atom_site_label
_atom_site_type_symbol
_atom_site_fract_x
_atom_site_fract_y
_atom_site_fract_z
Ac1 Ac 0.8503 0.1504 0.3055
Ac2 Ac 0.4552 0.6504 0.3055
Ac3 Ac 0.1497 0.8496 0.6945
Ac4 Ac 0.5448 0.3496 0.6945
C1 C 0.9115 0.4741 0.5496
C2 C 0.3619 0.0259 0.4504
C3 C 0.0885 0.5259 0.4504
C4 C 0.6381 0.9741 0.5496
Br1 Br 0.7979 0.7500 0.0000
Br2 Br 0.2021 0.2500 0.0000
# DFT total energy ... -6.368 eV/atom
# Volume ... 246 Å³ per cell
# DOS(E_F) ... 0.348 states/eV/atom

***

No. 3
# AcCBr | Alexandria via LeMat-Bulk | PBE | relaxed
data_AcCBr
_cell_length_a 4.3003
_cell_length_b 4.3003
_cell_length_c 10.5088
_cell_angle_alpha 87.17
_cell_angle_beta 87.17
_cell_angle_gamma 70.14
_symmetry_space_group_name_H-M 'P 1'
_symmetry_Int_Tables_number 1
_symmetry_space_group_name_Hall 'P 1'
loop_
_atom_site_label
_atom_site_type_symbol
_atom_site_fract_x
_atom_site_fract_y
_atom_site_fract_z
Ac1 Ac 0.0313 0.2937 0.2026
Ac2 Ac 0.6892 0.9515 0.9101
C1 C 0.2241 0.7588 0.0563
C2 C 0.4964 0.4864 0.0563
Br1 Br 0.0818 0.3441 0.7322
Br2 Br 0.6387 0.9011 0.3804
# DFT total energy ... -5.990 eV/atom
# Volume ... 182 Å³ per cell
# DOS(E_F) ... 0.255 states/eV/atom

***

No. 4
# Ac3CBr3 | Alexandria via LeMat-Bulk | PBE | relaxed
data_Ac3CBr3
_cell_length_a 4.1370
_cell_length_b 9.1391
_cell_length_c 12.2712
_cell_angle_alpha 94.73
_cell_angle_beta 90.00
_cell_angle_gamma 90.00
_symmetry_space_group_name_H-M 'P 1'
_symmetry_Int_Tables_number 1
_symmetry_space_group_name_Hall 'P 1'
loop_
_atom_site_label
_atom_site_type_symbol
_atom_site_fract_x
_atom_site_fract_y
_atom_site_fract_z
Ac1 Ac 0.2500 0.3223 0.6244
Ac2 Ac 0.7500 0.6777 0.3756
Ac3 Ac 0.2500 0.9127 0.6086
Ac4 Ac 0.7500 0.0873 0.3914
Ac5 Ac 0.2500 0.8735 0.1586
Ac6 Ac 0.7500 0.1265 0.8414
C1 C 0.2500 0.8695 0.3749
C2 C 0.7500 0.1305 0.6251
Br1 Br 0.2500 0.3772 0.3695
Br2 Br 0.7500 0.6228 0.6305
Br3 Br 0.2500 0.8676 0.8783
Br4 Br 0.7500 0.1324 0.1217
Br5 Br 0.2500 0.3870 0.8792
Br6 Br 0.7500 0.6130 0.1208
# DFT total energy ... -4.987 eV/atom
# Volume ... 462 Å³ per cell
# DOS(E_F) ... 0.328 states/eV/atom

***

No. 5
# AcCeCBr | Alexandria via LeMat-Bulk | PBE | relaxed
data_AcCeCBr
_cell_length_a 3.8532
_cell_length_b 3.8521
_cell_length_c 8.1363
_cell_angle_alpha 90.05
_cell_angle_beta 103.70
_cell_angle_gamma 119.89
_symmetry_space_group_name_H-M 'P 1'
_symmetry_Int_Tables_number 1
_symmetry_space_group_name_Hall 'P 1'
loop_
_atom_site_label
_atom_site_type_symbol
_atom_site_fract_x
_atom_site_fract_y
_atom_site_fract_z
Ac1 Ac 0.5105 0.1535 0.6785
Ce1 Ce 0.0895 0.9421 0.0471
C1 C 0.3245 0.5599 0.9000
Br1 Br 0.9534 0.3752 0.3440
# DFT total energy ... -5.993 eV/atom
# Volume ... 101 Å³ per cell
# DOS(E_F) ... 1.163 states/eV/atom

***

No. 6
# Ac4CoCBr2 | Alexandria via LeMat-Bulk | PBE | relaxed
data_Ac4CoCBr2
_cell_length_a 4.0658
_cell_length_b 7.4069
_cell_length_c 8.4379
_cell_angle_alpha 106.43
_cell_angle_beta 90.00
_cell_angle_gamma 90.00
_symmetry_space_group_name_H-M 'P 1'
_symmetry_Int_Tables_number 1
_symmetry_space_group_name_Hall 'P 1'
loop_
_atom_site_label
_atom_site_type_symbol
_atom_site_fract_x
_atom_site_fract_y
_atom_site_fract_z
Ac1 Ac 0.5000 0.2321 0.1843
Ac2 Ac 0.5000 0.7679 0.8157
Ac3 Ac 0.0000 0.2859 0.8122
Ac4 Ac 0.0000 0.7141 0.1878
Co1 Co 0.0000 0.0000 0.0000
C1 C 0.5000 0.5000 0.0000
Br1 Br 0.5000 0.0000 0.5000
Br2 Br 0.0000 0.5000 0.5000
# DFT total energy ... -5.191 eV/atom
# Volume ... 244 Å³ per cell
# DOS(E_F) ... 0.895 states/eV/atom